CdSiMo2 | PBE | relaxed

The structure in POSCAR format:
```
CdSiMo2
1.0
4.6735 -1.3916 0.0000
4.6735 1.3916 0.0000
-1.2761 0.0000 5.0696
Cd Si Mo
1 1 2
Direct
0.0000 0.0000 0.0000
0.5000 0.5000 0.5000
0.2326 0.2326 0.7300
0.7674 0.7674 0.2700
```

Output
The formation energy (no corrections) is 1.377 eV/f.u. As for the volume: 16.49 Å³ per atom. Its space group is No. 12. The calculation puts the excess energy over the best structure of this formula in the dataset at 211 meV/atom. The density of states at the Fermi level is 3.200 states/eV/cell.